Version w
Below is a geometry-optimized In2Te2Cl structure, with properties calculated at the PBE level.

- crystal system = triclinic
- total magnetization (μB per formula unit) = 0.0

a b c (Å): 7.3717 7.9153 8.1107
angles (deg): 61.01 80.66 64.20
Closest atoms and distances in Å follow each position.
Space group P-1 (No. 2)
Inequivalent atoms, fractional coordinates:
In  0.1911  0.1035  0.0289 x2  2 Cl 2.66-2.73, 1 Te 2.96
In  0.2323  0.0178  0.5310 x2  4 Te 2.86-2.95
Te  0.0928  0.6878  0.7550 x2  3 In 2.87-2.96
Te  0.4372  0.1551  0.6792 x2  4 In 2.86-3.14
Cl  0.1294  0.7510  0.2052 x2  2 In 2.66-2.73


Version x
Below is a geometry-optimized In2Te2Cl structure, with properties calculated at the PBE level.

- crystal system = tetragonal
- total magnetization (μB per formula unit) = 0.0

a b c (Å): 8.3940 8.3940 3.9431
angles (deg): 90.00 90.00 90.00
Closest atoms and distances in Å follow each position.
Space group P4/mbm (No. 127)
Inequivalent atoms, fractional coordinates:
In  0.1646  0.3354  0.0000 x4  6 Te 3.00-3.26, 2 Cl 3.14
Te  0.1447  0.6447  0.5000 x4  6 In 3.00-3.26
Cl  0.0000  0.0000  0.0000 x2  4 In 3.14


Verdict on stability: version w comes out on top.


Version w
Below is a geometry-optimized ThInCl6 structure, with properties calculated at the PBE level.

- crystal system = orthorhombic
- total magnetization (μB per formula unit) = 1.0

a b c (Å): 4.0657 8.7979 14.4458
angles (deg): 90.00 90.00 90.00
Closest atoms and distances in Å follow each position.
Space group Amm2 (No. 38)
Inequivalent atoms, fractional coordinates:
Th  0.0000  0.0000  0.0000 x2  8 Cl 2.76-2.89
In  0.5000  0.0000  0.5229 x2  2 Cl 2.67
Cl  0.0000  0.0000  0.6423 x2  2 In 2.67
Cl  0.0000  0.2078  0.4245 x4  1 Th 2.79, 2 In 3.08
Cl  0.5000  0.0000  0.8706 x2  2 Th 2.76
Cl  0.5000  0.1722  0.0960 x4  2 Th 2.89, 1 Cl 3.03, 1 In 3.07


Version x
Below is a geometry-optimized ThInCl6 structure, with properties calculated at the PBE level.

- crystal system = trigonal
- total magnetization (μB per formula unit) = 0.0

a b c (Å): 6.8912 6.8912 18.9327
angles (deg): 90.00 90.00 120.00
Closest atoms and distances in Å follow each position.
Space group R-3 (No. 148, hexagonal axes)
Inequivalent atoms, fractional coordinates:
Th  0.0000  0.0000  0.0000 x3  6 Cl 2.70
In  0.0000  0.0000  0.5000 x3  6 Cl 2.78
Cl  0.0073  0.3533  0.7492 x18  1 Th 2.70, 1 In 2.78


Verdict on stability: version x comes out on top.


Version w
Below is a geometry-optimized Ti2InCl8 structure, with properties calculated at the PBE level.

- crystal system = orthorhombic
- total magnetization (μB per formula unit) = 1.0

a b c (Å): 4.8485 10.4880 12.5660
angles (deg): 90.00 90.00 90.00
Closest atoms and distances in Å follow each position.
Space group Immm (No. 71)
Inequivalent atoms, fractional coordinates:
Ti  0.0000  0.1790  0.0000 x4  6 Cl 2.29-2.46
In  0.0000  0.0000  0.5000 x2  10 Cl 3.42-3.49
Cl  0.0000  0.0000  0.1269 x4  2 Ti 2.46
Cl  0.0000  0.3244  0.1357 x8  1 Ti 2.29
Cl  0.0000  0.3257  0.5000 x4  2 Ti 2.42


Version x
Below is a geometry-optimized Ti2InCl8 structure, with properties calculated at the PBE level.

- crystal system = monoclinic
- total magnetization (μB per formula unit) = 1.0

a b c (Å): 13.6953 8.2832 7.6190
angles (deg): 90.00 104.01 90.00
Closest atoms and distances in Å follow each position.
Space group C2/m (No. 12)
Inequivalent atoms, fractional coordinates:
Ti  0.2017  0.0000  0.1801 x4  4 Cl 2.21-2.24
In  0.0000  0.0000  0.5000 x2  6 Cl 3.22-3.26
Cl  0.1265  0.2103  0.2768 x8  1 Ti 2.24
Cl  0.1347  0.5000  0.6975 x4  1 Ti 2.21
Cl  0.1734  0.0000  0.8777 x4  1 Ti 2.24


Verdict on stability: version x comes out on top.


Version w
Below is a geometry-optimized TiIn2Cl2 structure, with properties calculated at the PBE level.

- crystal system = tetragonal
- total magnetization (μB per formula unit) = 2.4

a b c (Å): 4.3467 4.3467 13.9870
angles (deg): 90.00 90.00 90.00
Closest atoms and distances in Å follow each position.
Space group I4/mmm (No. 139)
Inequivalent atoms, fractional coordinates:
Ti  0.0000  0.0000  0.0000 x2  8 In 3.46
In  0.0000  0.0000  0.3866 x4  4 Cl 2.89, 1 In 3.17
Cl  0.0000  0.5000  0.2500 x4  4 In 2.89, 4 Cl 3.07


Version x
Below is a geometry-optimized TiIn2Cl2 structure, with properties calculated at the PBE level.

- crystal system = tetragonal
- total magnetization (μB per formula unit) = 2.1

a b c (Å): 7.5750 7.5750 4.8153
angles (deg): 90.00 90.00 90.00
Closest atoms and distances in Å follow each position.
Space group P4/mbm (No. 127)
Inequivalent atoms, fractional coordinates:
Ti  0.0000  0.0000  0.0000 x2  4 In 2.90
In  0.1458  0.3542  0.0000 x4  2 Ti 2.90, 2 Cl 2.95, 1 In 3.12
Cl  0.1952  0.6952  0.5000 x4  2 In 2.95


Verdict on stability: version x comes out on top.